# Hf2SbPb2 PBE relaxed
# Raw formation energy ... 0.2608 eV per atom
# Energy above the most stable polymorph in this dataset ... 0.307 eV/atom
data_Hf2SbPb2
_cell_length_a 8.981
_cell_length_b 8.981
_cell_length_c 3.233
_cell_angle_alpha 90.00
_cell_angle_beta 90.00
_cell_angle_gamma 90.00
_symmetry_space_group_name_H-M 'P 4/m b m'
_symmetry_Int_Tables_number 127
_symmetry_space_group_name_Hall '-P 4 2ab'
loop_
_atom_site_label
_atom_site_fract_x
_atom_site_fract_y
_atom_site_fract_z
_atom_site_occupancy
Hf1 0.123 0.377 0.000 1
Sb1 0.000 0.000 0.500 1
Pb1 0.171 0.671 0.500 1